Entry 1:
Below is crystalline Fe4CuSi at its relaxed geometry, with properties calculated at the PBE level.

Properties
As for the space group: F-43m. The value obtained for the density of states at the Fermi level is 5.91 states/eV/f.u. As for the formation energy from raw total energies: 0.225 eV/atom.

Unit cell a=4.6850 b=4.6850 c=4.6850 alpha=60.00 beta=60.00 gamma=60.00
Element x y z (fractional)
Fe (0.1251, 0.1251, 0.1251)
Fe (0.1251, 0.1251, 0.6247)
Fe (0.1251, 0.6247, 0.1251)
Fe (0.6247, 0.1251, 0.1251)
Cu (0.5000, 0.5000, 0.5000)
Si (0.7500, 0.7500, 0.7500)

=====

Entry 2:
Below is crystalline Si3W at its relaxed geometry, with properties calculated at the PBE level.

Properties
The calculation puts the relative energy among the computed polymorphs at 98 kJ/mol of formula units. As for the space group: R-3m. The value obtained for the density of states at the Fermi level is 1.27 states/eV/f.u. As for the formation energy from raw total energies: 0.248 eV/atom.

Unit cell a=7.5775 b=7.5775 c=7.5775 alpha=23.20 beta=23.20 gamma=23.20
Element x y z (fractional)
Si (0.0000, 0.0000, 0.0000)
Si (0.2510, 0.2510, 0.2510)
Si (0.7490, 0.7490, 0.7490)
W (0.5000, 0.5000, 0.5000)

=====

Entry 3:
Below is crystalline Ac6Tl2Zn at its relaxed geometry, with properties calculated at the PBE level.

Properties
The calculation puts the relative energy among the computed polymorphs at 47 kJ/mol of formula units. As for the space group: P2_1/c. The value obtained for the density of states at the Fermi level is 12.16 states/eV/f.u. The calculation puts the formation enthalpy at 0 K at -0.150 eV per atom.

Unit cell a=7.0622 b=9.3072 c=12.4004 alpha=90.00 beta=121.06 gamma=90.00
Element x y z (fractional)
Ac (0.0788, 0.1699, 0.4486)
Ac (0.0788, 0.3301, 0.9486)
Ac (0.3221, 0.6857, 0.4390)
Ac (0.3221, 0.8143, 0.9390)
Ac (0.4077, 0.0430, 0.2738)
Ac (0.4077, 0.4570, 0.7738)
Ac (0.5923, 0.5430, 0.2262)
Ac (0.5923, 0.9570, 0.7262)
Ac (0.6779, 0.1857, 0.0610)
Ac (0.6779, 0.3143, 0.5610)
Ac (0.9212, 0.6699, 0.0514)
Ac (0.9212, 0.8301, 0.5514)
Tl (0.1712, 0.1210, 0.7563)
Tl (0.1712, 0.3790, 0.2563)
Tl (0.8288, 0.6210, 0.7437)
Tl (0.8288, 0.8790, 0.2437)
Zn (0.0000, 0.0000, 0.0000)
Zn (0.0000, 0.5000, 0.5000)

=====

Entry 4:
Below is crystalline CrCu2Au at its relaxed geometry, with properties calculated at the PBE level.

Properties
As for the space group: I-42d. The value obtained for the density of states at the Fermi level is 2.28 states/eV/f.u. The calculation puts the formation enthalpy at 0 K at 0.487 eV per atom.

Unit cell a=5.6072 b=5.6072 c=5.6072 alpha=102.69 beta=102.69 gamma=124.09
Element x y z (fractional)
Cr (0.0000, 0.0000, 0.0000)
Cr (0.7500, 0.2500, 0.5000)
Cu (0.1263, 0.6250, 0.0013)
Cu (0.3750, 0.3763, 0.5013)
Cu (0.6237, 0.1250, 0.9987)
Cu (0.8750, 0.8737, 0.4987)
Au (0.2500, 0.7500, 0.5000)
Au (0.5000, 0.5000, 0.0000)

=====

Entry 5:
Below is crystalline GeSb2IBr at its relaxed geometry, with properties calculated at the PBE level.

Properties
The calculation puts the relative energy among the computed polymorphs at 0 kJ/mol of formula units. As for the space group: P4/mmm. The value obtained for the density of states at the Fermi level is 4.48 states/eV/f.u. As for the formation energy from raw total energies: 0.466 eV/atom.

Unit cell a=5.5031 b=5.5031 c=5.5892 alpha=90.00 beta=90.00 gamma=90.00
Element x y z (fractional)
Ge (0.0000, 0.0000, 0.0000)
Sb (0.0000, 0.5000, 0.0000)
Sb (0.5000, 0.0000, 0.0000)
I (0.0000, 0.0000, 0.5000)
Br (0.5000, 0.5000, 0.5000)

=====

Entry 6:
Below is crystalline CdBi2F at its relaxed geometry, with properties calculated at the PBE level.

Properties
The calculation puts the relative energy among the computed polymorphs at 0 kJ/mol of formula units. As for the space group: Fm-3m. The value obtained for the density of states at the Fermi level is 1.31 states/eV/f.u. As for the formation energy from raw total energies: -0.560 eV/atom.

Unit cell a=5.0820 b=5.0820 c=5.0820 alpha=60.00 beta=60.00 gamma=60.00
Element x y z (fractional)
Cd (0.0000, 0.0000, 0.0000)
Bi (0.2500, 0.2500, 0.2500)
Bi (0.7500, 0.7500, 0.7500)
F (0.5000, 0.5000, 0.5000)

=====

Entry 7:
Below is crystalline Be2HgPb at its relaxed geometry, with properties calculated at the PBE level.

Properties
The calculation puts the relative energy among the computed polymorphs at 135 kJ/mol of formula units. As for the space group: Immm. The value obtained for the density of states at the Fermi level is 1.54 states/eV/f.u. The calculation puts the formation enthalpy at 0 K at 0.723 eV per atom.

Unit cell a=5.1313 b=5.1313 c=5.1313 alpha=139.88 beta=113.42 gamma=80.67
Element x y z (fractional)
Be (0.2233, 0.2233, 0.0000)
Be (0.7767, 0.7767, 0.0000)
Hg (0.0000, 0.5000, 0.5000)
Pb (0.5000, 0.0000, 0.5000)

=====

Entry 8:
Below is crystalline DyPa2C at its relaxed geometry, with properties calculated at the PBE level.

Properties
As for the space group: R-3m. The value obtained for the density of states at the Fermi level is 7.59 states/eV/f.u. The calculation puts the formation enthalpy at 0 K at -0.096 eV per atom.

Unit cell a=9.2639 b=9.2639 c=9.2639 alpha=21.19 beta=21.19 gamma=21.19
Element x y z (fractional)
Dy (0.0000, 0.0000, 0.0000)
Pa (0.2207, 0.2207, 0.2207)
Pa (0.7793, 0.7793, 0.7793)
C (0.5000, 0.5000, 0.5000)

=====

Q: Which formula does entry 5 have?
A: GeSb2IBr